An optimized crystal structure of TiVCoO6, computed with PBE with a Hubbard U.

a b c (Å): 4.556 4.556 8.666
angles (deg): 90.00 90.00 90.00
Element x y z (fractional)
1 Ti 0.000 0.000 0.323
2 Ti 0.500 0.500 0.823
3 O 0.199 0.801 0.509
4 O 0.189 0.811 0.832
5 O 0.801 0.199 0.509
6 O 0.699 0.699 0.667
7 O 0.199 0.801 0.167
8 O 0.801 0.199 0.167
9 O 0.301 0.301 0.009
10 O 0.699 0.699 0.009
11 O 0.689 0.689 0.332
12 O 0.311 0.311 0.332
13 O 0.301 0.301 0.667
14 O 0.811 0.189 0.832
15 V 0.500 0.500 0.161
16 V 0.000 0.000 0.661
17 Co 0.000 0.000 0.000
18 Co 0.500 0.500 0.500

Values from the calculation:
Total DFT energy (no corrections) (Ry per atom): -0.5499
Symmetry: No. 102